No. 1
{
  "formula": "TcNiBiW2",
  "functional": "PBE",
  "state": "optimized geometry",
  "crystal_system": "tetragonal",
  "rho_g_cm3": 10.55,
  "space_group": "No. 123",
  "dos_ef_per_ev_cell": 6.78,
  "ef_ev_per_fu": 14.02,
  "cell": [[5.064, 0.000, 0.000], [0.000, 5.064, 0.000], [0.000, 0.000, 4.500]],
  "species": ["Tc", "Ni", "Bi", "W", "W"],
  "frac_coords": [[0.000, 0.000, 0.000], [0.500, 0.500, 0.000], [0.500, 0.500, 0.500], [0.000, 0.500, 0.500], [0.500, 0.000, 0.500]]
}


No. 2
{
  "formula": "KRb2BiH",
  "functional": "PBE",
  "state": "optimized geometry",
  "crystal_system": "tetragonal",
  "rho_g_cm3": 3.72,
  "space_group": "No. 123",
  "total_energy_ev_per_atom": -2.2655,
  "dos_ef_per_ev_cell": 3.54,
  "cell": [[5.812, 0.000, 0.000], [0.000, 5.812, 0.000], [0.000, 0.000, 5.553]],
  "species": ["K", "Rb", "Rb", "Bi", "H"],
  "frac_coords": [[0.000, 0.000, 0.000], [0.000, 0.500, 0.500], [0.500, 0.000, 0.500], [0.500, 0.500, 0.000], [0.000, 0.000, 0.500]]
}


No. 3
{
  "formula": "Rb4LiF6",
  "functional": "PBE",
  "state": "optimized geometry",
  "crystal_system": "monoclinic",
  "raw_formation_energy_ev_per_fu": -26.97,
  "rho_g_cm3": 2.89,
  "space_group": "No. 9",
  "dos_ef_per_ev_cell": 28.43,
  "cell": [[7.046, -3.351, 0.000], [7.046, 3.351, 0.000], [-6.923, 0.000, 11.252]],
  "species": ["Rb", "Rb", "Rb", "Rb", "Rb", "Rb", "Rb", "Rb", "Li", "Li", "F", "F", "F", "F", "F", "F", "F", "F", "F", "F", "F", "F"],
  "frac_coords": [[0.009, 0.991, 0.500], [0.284, 0.359, 0.449], [0.359, 0.284, 0.949], [0.452, 0.703, 0.298], [0.703, 0.452, 0.798], [0.718, 0.792, 0.139], [0.792, 0.718, 0.639], [0.991, 0.009, 0.000], [0.248, 0.327, 0.180], [0.327, 0.248, 0.680], [0.042, 0.345, 0.026], [0.091, 0.292, 0.720], [0.148, 0.613, 0.295], [0.257, 0.533, 0.687], [0.292, 0.091, 0.220], [0.345, 0.042, 0.526], [0.423, 0.645, 0.062], [0.533, 0.257, 0.187], [0.613, 0.148, 0.795], [0.645, 0.423, 0.562], [0.731, 0.834, 0.943], [0.834, 0.731, 0.443]]
}


No. 4
{
  "formula": "CoCN",
  "functional": "PBE",
  "state": "optimized geometry",
  "crystal_system": "monoclinic",
  "raw_formation_energy_ev_per_fu": 1.69,
  "rho_g_cm3": 4.17,
  "space_group": "No. 8",
  "dos_ef_per_ev_cell": 1.07,
  "cell": [[3.149, -1.579, 0.000], [3.149, 1.579, 0.000], [-0.978, 0.000, 3.398]],
  "species": ["Co", "C", "N"],
  "frac_coords": [[0.000, 0.000, 0.000], [0.864, 0.864, 0.459], [0.703, 0.703, 0.162]]
}